No. 1
# Pm4Sn3Ir

A geometry-optimized Pm4Sn3Ir structure (PBE-GGA, the Alexandria database).

The structure belongs to space group Pmm2 (No. 25); the cell edges are 4.4194, 4.4517 and 11.3878 Å and the angles 90.00°, 90.00° and 90.00°. The asymmetric unit holds Pm at (0.0000, 0.0000, 0.0000), Pm at (0.0000, 0.5000, 0.2535), Pm at (0.5000, 0.0000, 0.4546), Pm at (0.5000, 0.5000, 0.7601), Sn at (0.0000, 0.0000, 0.7108), Sn at (0.0000, 0.5000, 0.5334), Sn at (0.5000, 0.5000, 0.0412) and Ir at (0.5000, 0.0000, 0.1979).

The calculated total energy is -5.6910 eV/atom. The calculation puts the formation enthalpy at 0 K at -0.71 eV per atom.

=====

No. 2
# Pm3Sn3Ir2

A geometry-optimized Pm3Sn3Ir2 structure (PBE-GGA, the Alexandria database).

The structure belongs to space group Pnma (No. 62); the cell edges are 8.4949, 15.5432 and 5.9654 Å and the angles 90.00°, 90.00° and 90.00°. The asymmetric unit holds Pm at (0.0331, 0.1119, 0.1103), Pm at (0.1719, 0.2500, 0.6367), Sn at (0.1765, 0.7500, 0.6233), Sn at (0.1870, 0.0340, 0.6124) and Ir at (0.0922, 0.6104, 0.3675).

The calculated total energy is -6.2329 eV/atom. The calculation puts the energy above the most stable polymorph in this dataset at 3.1 kJ per mole of atoms. The calculation puts the formation enthalpy at 0 K at -0.74 eV per atom.

=====

No. 3
# PmSnIr

A geometry-optimized PmSnIr structure (PBE-GGA, the Alexandria database).

The structure belongs to space group F-43m (No. 216); the cell edges are 6.7059, 6.7059 and 6.7059 Å and the angles 90.00°, 90.00° and 90.00°. The asymmetric unit holds Pm at (0.0000, 0.0000, 0.0000), Sn at (0.0000, 0.0000, 0.5000) and Ir at (0.2500, 0.2500, 0.7500).

The calculated total energy is -6.4607 eV/atom. The calculation puts the energy above the most stable polymorph in this dataset at 19.2 kJ per mole of atoms. The calculation puts the formation enthalpy at 0 K at -0.59 eV per atom.

=====

No. 4
# Pm2Sn3Ir

A geometry-optimized Pm2Sn3Ir structure (PBE-GGA, the Alexandria database).

The structure belongs to space group Cm (No. 8); the cell edges are 11.1742, 4.7262 and 7.4041 Å and the angles 90.00°, 129.21° and 90.00°. The asymmetric unit holds Pm at (0.0000, 0.0000, 0.0000), Pm at (0.1236, 0.0000, 0.6105), Sn at (0.2310, 0.5000, 0.3880), Sn at (0.3803, 0.0000, 0.1922), Sn at (0.4469, 0.0000, 0.6701) and Ir at (0.2448, 0.5000, 0.0308).

The calculated total energy is -5.7132 eV/atom. The calculation puts the energy above the most stable polymorph in this dataset at 0.0 kJ per mole of atoms. The calculation puts the formation enthalpy at 0 K at -0.65 eV per atom.

=====

No. 5
# Pm3Sn7Ir2

A geometry-optimized Pm3Sn7Ir2 structure (PBE-GGA, the Alexandria database).

The structure belongs to space group P2/m (No. 10); the cell edges are 4.6792, 4.5935 and 14.2745 Å and the angles 90.00°, 99.35° and 90.00°. The asymmetric unit holds Pm at (0.0000, 0.0000, 0.0000), Pm at (0.3179, 0.5000, 0.6379), Sn at (0.0856, 0.5000, 0.1715), Sn at (0.2215, 0.0000, 0.4427), Sn at (0.4150, 0.0000, 0.8264), Sn at (0.5000, 0.5000, 0.0000) and Ir at (0.1279, 0.0000, 0.2609).

The calculated total energy is -5.5672 eV/atom. The calculation puts the formation enthalpy at 0 K at -0.57 eV per atom.

=====

No. 6
# Pm6Sn12Ir

A geometry-optimized Pm6Sn12Ir structure (PBE-GGA, the Alexandria database).

The structure belongs to space group R-3 (No. 148, hexagonal axes); the cell edges are 12.1281, 12.1281 and 12.2560 Å and the angles 90.00°, 90.00° and 120.00°. The asymmetric unit holds Pm at (0.9997, 0.4282, 0.2469), Sn at (0.0578, 0.8604, 0.8551), Sn at (0.0601, 0.1910, 0.3549) and Ir at (0.0000, 0.0000, 0.0000).

The calculated total energy is -5.0232 eV/atom. The calculation puts the formation enthalpy at 0 K at -0.53 eV per atom.

=====

No. 7
# PmSn4Ir2

A geometry-optimized PmSn4Ir2 structure (PBE-GGA, the Alexandria database).

The structure belongs to space group Pnma (No. 62); the cell edges are 18.5345, 4.5002 and 7.2944 Å and the angles 90.00°, 90.00° and 90.00°. The asymmetric unit holds Pm at (0.1426, 0.2500, 0.0069), Sn at (0.0331, 0.7500, 0.8686), Sn at (0.0671, 0.2500, 0.4780), Sn at (0.1822, 0.7500, 0.3052), Sn at (0.1933, 0.7500, 0.7272), Ir at (0.0351, 0.7500, 0.2508) and Ir at (0.2144, 0.2500, 0.5208).

The calculated total energy is -6.0332 eV/atom. The calculation puts the energy above the most stable polymorph in this dataset at 0.0 kJ per mole of atoms. The calculation puts the formation enthalpy at 0 K at -0.54 eV per atom.

=====

No. 8
# Pm3SnIr

A geometry-optimized Pm3SnIr structure (PBE-GGA, the Alexandria database).

The structure belongs to space group Pmmn (No. 59, origin choice 2); the cell edges are 4.6610, 6.9558 and 9.0870 Å and the angles 90.00°, 90.00° and 90.00°. The asymmetric unit holds Pm at (0.2500, 0.0051, 0.1537), Pm at (0.2500, 0.2500, 0.5781), Sn at (0.2500, 0.7500, 0.6512) and Ir at (0.2500, 0.2500, 0.8961).

The calculated total energy is -6.0562 eV/atom. The calculation puts the energy above the most stable polymorph in this dataset at 0.0 kJ per mole of atoms. The calculation puts the formation enthalpy at 0 K at -0.63 eV per atom.

=====

No. 9
# Pm3SnIr8

A geometry-optimized Pm3SnIr8 structure (PBE-GGA, the Alexandria database).

The structure belongs to space group R3m (No. 160, hexagonal axes); the cell edges are 5.4039, 5.4039 and 26.4297 Å and the angles 90.00°, 90.00° and 120.00°. The asymmetric unit holds Pm at (0.0000, 0.0000, 0.0000), Pm at (0.0000, 0.0000, 0.1274), Pm at (0.0000, 0.0000, 0.6204), Sn at (0.0000, 0.0000, 0.4967), Ir at (0.0000, 0.0000, 0.3123), Ir at (0.0000, 0.0000, 0.8126), Ir at (0.0006, 0.5003, 0.5621) and Ir at (0.0010, 0.5005, 0.0623).

The calculated total energy is -7.9586 eV/atom. The calculation puts the formation enthalpy at 0 K at -0.53 eV per atom.

=====

No. 10
# Pm8Sn2Ir3

A geometry-optimized Pm8Sn2Ir3 structure (PBE-GGA, the Alexandria database).

The structure belongs to space group Cmmm (No. 65); the cell edges are 10.0712, 15.2357 and 5.0052 Å and the angles 90.00°, 90.00° and 90.00°. The asymmetric unit holds Pm at (0.0000, 0.1093, 0.0000), Pm at (0.0000, 0.3861, 0.0000), Pm at (0.2445, 0.3882, 0.5000), Sn at (0.0000, 0.2431, 0.5000), Ir at (0.0000, 0.5000, 0.5000) and Ir at (0.2488, 0.0000, 0.0000).

The calculated total energy is -6.1369 eV/atom. The calculation puts the formation enthalpy at 0 K at -0.55 eV per atom.

=====

No. 11
# Pm12SnIr7

A geometry-optimized Pm12SnIr7 structure (PBE-GGA, the Alexandria database).

The structure belongs to space group R-3 (No. 148, hexagonal axes); the cell edges are 15.2792, 15.2792 and 8.6960 Å and the angles 90.00°, 90.00° and 120.00°. The asymmetric unit holds Pm at (0.0143, 0.4367, 0.3266), Pm at (0.0397, 0.1596, 0.2790), Sn at (0.0000, 0.0000, 0.0000), Ir at (0.0000, 0.0000, 0.5000) and Ir at (0.0466, 0.1911, 0.9156).

The calculated total energy is -6.6441 eV/atom. The calculation puts the formation enthalpy at 0 K at -0.49 eV per atom.

=====

No. 12
# Pm7Sn2Ir

A geometry-optimized Pm7Sn2Ir structure (PBE-GGA, the Alexandria database).

The structure belongs to space group Fm-3m (No. 225); the cell edges are 11.0505, 11.0505 and 11.0505 Å and the angles 90.00°, 90.00° and 90.00°. The asymmetric unit holds Pm at (0.0000, 0.0000, 0.0000), Pm at (0.0000, 0.0000, 0.2560), Sn at (0.2500, 0.2500, 0.2500) and Ir at (0.0000, 0.0000, 0.5000).

The calculated total energy is -4.9599 eV/atom. The calculation puts the formation enthalpy at 0 K at 0.05 eV per atom.

=====

No. 13
# PmSn4Ir2

A geometry-optimized PmSn4Ir2 structure (PBE-GGA, the Alexandria database).

The structure belongs to space group P4_2/mnm (No. 136); the cell edges are 8.9887, 8.9887 and 3.9273 Å and the angles 90.00°, 90.00° and 90.00°. The asymmetric unit holds Pm at (0.0000, 0.0000, 0.0000), Sn at (0.0696, 0.3050, 0.5000) and Ir at (0.2162, 0.7838, 0.5000).

The calculated total energy is -5.8668 eV/atom. The calculation puts the energy above the most stable polymorph in this dataset at 16.1 kJ per mole of atoms. The calculation puts the formation enthalpy at 0 K at -0.37 eV per atom.

=====

No. 14
# PmSnIr

A geometry-optimized PmSnIr structure (PBE-GGA, the Alexandria database).

The structure belongs to space group P-6m2 (No. 187); the cell edges are 4.6350, 4.6350 and 3.7465 Å and the angles 90.00°, 90.00° and 120.00°. The asymmetric unit holds Pm at (0.0000, 0.0000, 0.0000), Sn at (0.6667, 0.3333, 0.5000) and Ir at (0.3333, 0.6667, 0.5000).

The calculated total energy is -6.4885 eV/atom. The calculation puts the energy above the most stable polymorph in this dataset at 16.5 kJ per mole of atoms. The calculation puts the formation enthalpy at 0 K at -0.62 eV per atom.

=====

No. 15
# Pm7SnIr4

A geometry-optimized Pm7SnIr4 structure (PBE-GGA, the Alexandria database).

The structure belongs to space group C2/m (No. 12); the cell edges are 13.7581, 5.6927 and 9.9097 Å and the angles 90.00°, 125.63° and 90.00°. The asymmetric unit holds Pm at (0.0000, 0.0000, 0.0000), Pm at (0.0739, 0.5000, 0.3701), Pm at (0.1804, 0.0000, 0.6258), Pm at (0.2089, 0.5000, 0.8794), Sn at (0.0000, 0.5000, 0.0000), Ir at (0.0678, 0.0000, 0.7774) and Ir at (0.2043, 0.0000, 0.3396).

The calculated total energy is -6.4557 eV/atom. The calculation puts the formation enthalpy at 0 K at -0.40 eV per atom.

=====

No. 16
# PmSn3Ir3

A geometry-optimized PmSn3Ir3 structure (PBE-GGA, the Alexandria database).

The structure belongs to space group Pm-3n (No. 223); the cell edges are 7.2233, 7.2233 and 7.2233 Å and the angles 90.00°, 90.00° and 90.00°. The asymmetric unit holds Pm at (0.0000, 0.0000, 0.0000), Sn at (0.0000, 0.2500, 0.5000) and Ir at (0.0000, 0.5000, 0.2500).

The calculated total energy is -5.9892 eV/atom. The calculation puts the formation enthalpy at 0 K at 0.20 eV per atom.

=====

No. 17
# Pm2Sn8Ir

A geometry-optimized Pm2Sn8Ir structure (PBE-GGA, the Alexandria database).

The structure belongs to space group P4/mmm (No. 123); the cell edges are 4.7451, 4.7451 and 12.5233 Å and the angles 90.00°, 90.00° and 90.00°. The asymmetric unit holds Pm at (0.0000, 0.0000, 0.1851), Sn at (0.0000, 0.5000, 0.0000), Sn at (0.0000, 0.5000, 0.3778), Sn at (0.5000, 0.5000, 0.1939) and Ir at (0.0000, 0.0000, 0.5000).

The calculated total energy is -4.9668 eV/atom. The calculation puts the energy above the most stable polymorph in this dataset at 0.0 kJ per mole of atoms. The calculation puts the formation enthalpy at 0 K at -0.39 eV per atom.

=====

No. 18
# Pm6Sn3Ir2

A geometry-optimized Pm6Sn3Ir2 structure (PBE-GGA, the Alexandria database).

The structure belongs to space group I4/mmm (No. 139); the cell edges are 5.0066, 5.0066 and 27.7694 Å and the angles 90.00°, 90.00° and 90.00°. The asymmetric unit holds Pm at (0.0000, 0.0000, 0.2159), Pm at (0.0000, 0.5000, 0.0772), Sn at (0.0000, 0.0000, 0.3311), Sn at (0.0000, 0.0000, 0.5000) and Ir at (0.0000, 0.0000, 0.1186).

The calculated total energy is -5.7349 eV/atom. The calculation puts the formation enthalpy at 0 K at -0.44 eV per atom.

=====

No. 19
# PmSn8Ir2

A geometry-optimized PmSn8Ir2 structure (PBE-GGA, the Alexandria database).

The structure belongs to space group C2/m (No. 12); the cell edges are 8.5207, 13.0131 and 5.0045 Å and the angles 90.00°, 96.57° and 90.00°. The asymmetric unit holds Pm at (0.0000, 0.0000, 0.0000), Sn at (0.0000, 0.2532, 0.0000), Sn at (0.1093, 0.5000, 0.7920), Sn at (0.1980, 0.1375, 0.6057) and Ir at (0.0000, 0.3254, 0.5000).

The calculated total energy is -5.1705 eV/atom. The calculation puts the formation enthalpy at 0 K at -0.22 eV per atom.

=====

No. 20
# PmSn2Ir

A geometry-optimized PmSn2Ir structure (PBE-GGA, the Alexandria database).

The structure belongs to space group R-3m (No. 166, hexagonal axes); the cell edges are 5.1776, 5.1776 and 11.5881 Å and the angles 90.00°, 90.00° and 120.00°. The asymmetric unit holds Pm at (0.0000, 0.0000, 0.0000), Sn at (0.0000, 0.0000, 0.2592) and Ir at (0.0000, 0.0000, 0.5000).

The calculated total energy is -5.6501 eV/atom. The calculation puts the energy above the most stable polymorph in this dataset at 40.1 kJ per mole of atoms. The calculation puts the formation enthalpy at 0 K at -0.25 eV per atom.

=====

no.,magnetization (μB per cell)
1,0.00
2,0.00
3,0.00
4,0.00
5,0.00
6,0.00
7,0.00
8,0.00
9,0.00
10,0.00
11,0.00
12,0.00
13,0.00
14,0.00
15,0.00
16,0.00
17,0.00
18,0.00
19,0.00
20,0.00